1.
# PBE Rb4H2Pd, optimized geometry
# Crystal system: tetragonal
# Uncorrected energy (eV/atom): -2.09
data_Rb4H2Pd
_cell_length_a 6.321
_cell_length_b 6.321
_cell_length_c 16.488
_cell_angle_alpha 90.00
_cell_angle_beta 90.00
_cell_angle_gamma 90.00
_space_group_name_H-M_alt 'I 4/m m m'
_space_group_IT_number 139
_space_group_name_Hall '-I 4 2'
loop_
_atom_site_label
_atom_site_type_symbol
_atom_site_fract_x
_atom_site_fract_y
_atom_site_fract_z
Rb1 Rb 0.000 0.000 0.196
Rb2 Rb 0.000 0.500 0.000
H1 H 0.000 0.000 0.360
Pd1 Pd 0.000 0.000 0.000

=====

2.
# PBE Fe2PbAu, optimized geometry
# Crystal system: trigonal
# Uncorrected energy (eV/atom): -5.39
# Fermi-level density of states (states/eV/f.u.): 4.972
data_Fe2PbAu
_cell_length_a 3.1011
_cell_length_b 3.1011
_cell_length_c 26.0258
_cell_angle_alpha 90.00
_cell_angle_beta 90.00
_cell_angle_gamma 120.00
_space_group_name_H-M_alt 'R -3 m'
_space_group_IT_number 166
_space_group_name_Hall '-R 3 2"'
loop_
_atom_site_label
_atom_site_type_symbol
_atom_site_fract_x
_atom_site_fract_y
_atom_site_fract_z
Fe1 Fe 0.0000 0.0000 0.2448
Pb1 Pb 0.0000 0.0000 0.0000
Au1 Au 0.0000 0.0000 0.5000

=====

3.
# PBE SrIr, optimized geometry
# Crystal system: cubic
# Uncorrected energy (eV/atom): -4.02
# Fermi-level density of states (states/eV/f.u.): 2.893
data_SrIr
_cell_length_a 8.402
_cell_length_b 8.402
_cell_length_c 8.402
_cell_angle_alpha 90.00
_cell_angle_beta 90.00
_cell_angle_gamma 90.00
_space_group_name_H-M_alt 'P m -3 n'
_space_group_IT_number 223
_space_group_name_Hall '-P 4n 2 3'
loop_
_atom_site_label
_atom_site_type_symbol
_atom_site_fract_x
_atom_site_fract_y
_atom_site_fract_z
Sr1 Sr 0.000 0.250 0.500
Ir1 Ir 0.000 0.500 0.250

=====

4.
# PBE SrMgAs2Pd4, optimized geometry
# Crystal system: tetragonal
# Uncorrected energy (eV/atom): -4.78
# Fermi-level density of states (states/eV/f.u.): 4.148
data_SrMgAs2Pd4
_cell_length_a 4.441
_cell_length_b 4.441
_cell_length_c 7.895
_cell_angle_alpha 90.00
_cell_angle_beta 90.00
_cell_angle_gamma 90.00
_space_group_name_H-M_alt 'P 4/m m m'
_space_group_IT_number 123
_space_group_name_Hall '-P 4 2'
loop_
_atom_site_label
_atom_site_type_symbol
_atom_site_fract_x
_atom_site_fract_y
_atom_site_fract_z
Sr1 Sr 0.000 0.000 0.000
Mg1 Mg 0.000 0.000 0.500
As1 As 0.500 0.500 0.166
Pd1 Pd 0.000 0.500 0.313

=====

5.
# PBE Ga2NiNCl, optimized geometry
# E_form (uncorrected) (meV per atom): 827
# Crystal system: tetragonal
# Uncorrected energy (eV/atom): -3.57
# Fermi-level density of states (states/eV/f.u.): 3.274
data_Ga2NiNCl
_cell_length_a 4.203
_cell_length_b 4.203
_cell_length_c 4.454
_cell_angle_alpha 90.00
_cell_angle_beta 90.00
_cell_angle_gamma 90.00
_space_group_name_H-M_alt 'P 4/m m m'
_space_group_IT_number 123
_space_group_name_Hall '-P 4 2'
loop_
_atom_site_label
_atom_site_type_symbol
_atom_site_fract_x
_atom_site_fract_y
_atom_site_fract_z
Ga1 Ga 0.000 0.500 0.000
Ni1 Ni 0.000 0.000 0.500
N1 N 0.500 0.500 0.000
Cl1 Cl 0.500 0.500 0.500

=====

6.
# PBE MgZn4Se8, optimized geometry
# E_form (uncorrected) (meV per atom): -214
# Crystal system: tetragonal
# Offset from the most stable computed form (eV/f.u.): 0.000
# Uncorrected energy (eV/atom): -2.87
# Fermi-level density of states (states/eV/f.u.): 3.345
data_MgZn4Se8
_cell_length_a 14.739
_cell_length_b 14.739
_cell_length_c 3.821
_cell_angle_alpha 90.00
_cell_angle_beta 90.00
_cell_angle_gamma 90.00
_space_group_name_H-M_alt 'I 4/m'
_space_group_IT_number 87
_space_group_name_Hall '-I 4'
loop_
_atom_site_label
_atom_site_type_symbol
_atom_site_fract_x
_atom_site_fract_y
_atom_site_fract_z
Mg1 Mg 0.000 0.000 0.000
Zn1 Zn 0.087 0.628 0.500
Se1 Se 0.002 0.686 0.000
Se2 Se 0.201 0.768 0.500

=====

7.
# PBE BaAlAgHg2, optimized geometry
# Crystal system: tetragonal
# Uncorrected energy (eV/atom): -2.03
# Fermi-level density of states (states/eV/f.u.): 2.146
data_BaAlAgHg2
_cell_length_a 5.293
_cell_length_b 5.293
_cell_length_c 5.166
_cell_angle_alpha 90.00
_cell_angle_beta 90.00
_cell_angle_gamma 90.00
_space_group_name_H-M_alt 'P 4/m m m'
_space_group_IT_number 123
_space_group_name_Hall '-P 4 2'
loop_
_atom_site_label
_atom_site_type_symbol
_atom_site_fract_x
_atom_site_fract_y
_atom_site_fract_z
Ba1 Ba 0.000 0.000 0.000
Al1 Al 0.500 0.500 0.500
Ag1 Ag 0.500 0.500 0.000
Hg1 Hg 0.000 0.500 0.500

=====

8.
# PBE PAuN2O, optimized geometry
# E_form (uncorrected) (meV per atom): 822
# Crystal system: tetragonal
# Uncorrected energy (eV/atom): -5.24
# Fermi-level density of states (states/eV/f.u.): 2.616
data_PAuN2O
_cell_length_a 3.794
_cell_length_b 3.794
_cell_length_c 3.280
_cell_angle_alpha 90.00
_cell_angle_beta 90.00
_cell_angle_gamma 90.00
_space_group_name_H-M_alt 'P 4/m m m'
_space_group_IT_number 123
_space_group_name_Hall '-P 4 2'
loop_
_atom_site_label
_atom_site_type_symbol
_atom_site_fract_x
_atom_site_fract_y
_atom_site_fract_z
P1 P 0.000 0.000 0.000
Au1 Au 0.500 0.500 0.500
N1 N 0.000 0.500 0.000
O1 O 0.000 0.000 0.500

=====

9.
# PBE CaAc9Tb2, optimized geometry
# Crystal system: tetragonal
# Uncorrected energy (eV/atom): -3.99
# Fermi-level density of states (states/eV/f.u.): 17.772
data_CaAc9Tb2
_cell_length_a 5.529
_cell_length_b 5.529
_cell_length_c 16.608
_cell_angle_alpha 90.00
_cell_angle_beta 90.00
_cell_angle_gamma 90.00
_space_group_name_H-M_alt 'P 4/m m m'
_space_group_IT_number 123
_space_group_name_Hall '-P 4 2'
loop_
_atom_site_label
_atom_site_type_symbol
_atom_site_fract_x
_atom_site_fract_y
_atom_site_fract_z
Ca1 Ca 0.000 0.000 0.000
Ac1 Ac 0.000 0.500 0.172
Ac2 Ac 0.000 0.500 0.500
Ac3 Ac 0.500 0.500 0.000
Ac4 Ac 0.500 0.500 0.336
Tb1 Tb 0.000 0.000 0.334

=====

10.
# PBE NaSnB, optimized geometry
# Crystal system: triclinic
# Uncorrected energy (eV/atom): -3.60
# Fermi-level density of states (states/eV/f.u.): 1.485
data_NaSnB
_cell_length_a 3.750
_cell_length_b 6.367
_cell_length_c 6.774
_cell_angle_alpha 62.97
_cell_angle_beta 74.03
_cell_angle_gamma 72.90
_space_group_name_H-M_alt 'P 1'
_space_group_IT_number 1
loop_
_space_group_symop_operation_xyz
'x,y,z'
loop_
_atom_site_label
_atom_site_type_symbol
_atom_site_fract_x
_atom_site_fract_y
_atom_site_fract_z
Na1 Na 0.000 0.000 0.000
Na2 Na 0.198 0.420 0.184
Sn1 Sn 0.451 0.452 0.649
Sn2 Sn 0.750 0.935 0.568
B1 B 0.363 0.903 0.372
B2 B 0.511 0.704 0.274

=====

11.
# PBE Ti2Ge2Ir, optimized geometry
# Crystal system: orthorhombic
# Uncorrected energy (eV/atom): -7.34
# Fermi-level density of states (states/eV/f.u.): 3.074
data_Ti2Ge2Ir
_cell_length_a 4.163
_cell_length_b 14.316
_cell_length_c 5.356
_cell_angle_alpha 90.00
_cell_angle_beta 90.00
_cell_angle_gamma 90.00
_space_group_name_H-M_alt 'C m c 21'
_space_group_IT_number 36
loop_
_space_group_symop_operation_xyz
'x,y,z'
'-x,-y,z+1/2'
'-x,y,z'
'x,-y,z+1/2'
'x+1/2,y+1/2,z'
'-x+1/2,-y+1/2,z+1/2'
'-x+1/2,y+1/2,z'
'x+1/2,-y+1/2,z+1/2'
loop_
_atom_site_label
_atom_site_type_symbol
_atom_site_fract_x
_atom_site_fract_y
_atom_site_fract_z
Ti1 Ti 0.000 0.001 0.000
Ti2 Ti 0.000 0.198 0.669
Ge1 Ge 0.000 0.186 0.171
Ge2 Ge 0.000 0.418 0.258
Ir1 Ir 0.000 0.402 0.772

=====

12.
# PBE La2Nd7Sm2, optimized geometry
# Crystal system: monoclinic
# Offset from the most stable computed form (eV/f.u.): 0.000
# Uncorrected energy (eV/atom): -4.68
# Fermi-level density of states (states/eV/f.u.): 17.059
data_La2Nd7Sm2
_cell_length_a 16.348
_cell_length_b 10.489
_cell_length_c 11.903
_cell_angle_alpha 90.00
_cell_angle_beta 130.34
_cell_angle_gamma 90.00
_space_group_name_H-M_alt 'C 1 2/c 1'
_space_group_IT_number 15
loop_
_space_group_symop_operation_xyz
'x,y,z'
'-x,-y,-z'
'-x,y,-z+1/2'
'x,-y,z+1/2'
'x+1/2,y+1/2,z'
'-x+1/2,-y+1/2,-z'
'-x+1/2,y+1/2,-z+1/2'
'x+1/2,-y+1/2,z+1/2'
loop_
_atom_site_label
_atom_site_type_symbol
_atom_site_fract_x
_atom_site_fract_y
_atom_site_fract_z
La1 La 0.050 0.224 0.154
Nd1 Nd 0.000 0.111 0.750
Nd2 Nd 0.063 0.431 0.671
Nd3 Nd 0.201 0.384 0.533
Nd4 Nd 0.224 0.299 0.102
Sm1 Sm 0.159 0.034 0.593